(1)
# PmScTe2

A geometry-optimized PmScTe2 structure (PBE, the Alexandria database).

Relative energy among the computed polymorphs = 0.151 eV per formula unit
Density of states at the Fermi level = 0.642 states/eV/atom
Raw total energy = -67.09 eV for the cell shown

Unit cell a=4.2840 b=4.2840 c=21.4681 alpha=90.00 beta=90.00 gamma=120.00
Space group R-3m (No. 166, hexagonal axes)
Symmetry-distinct sites (fractional):
Pm  0.0000  0.0000  0.0000 [3 per cell]
Sc  0.0000  0.0000  0.5000 [3 per cell]
Te  0.0000  0.0000  0.2420 [6 per cell]

(2)
# PmSc3Te6

A geometry-optimized PmSc3Te6 structure (PBE, the Alexandria database).

Density of states at the Fermi level = 0.028 states/eV/atom
Raw total energy = -110.34 eV for the cell shown

Unit cell a=12.0929 b=4.2281 c=12.3854 alpha=90.00 beta=109.38 gamma=90.00
Space group P2_1/m (No. 11)
Symmetry-distinct sites (fractional):
Pm  0.0501  0.2500  0.2017 [2 per cell]
Sc  0.1556  0.2500  0.5842 [2 per cell]
Sc  0.3178  0.7500  0.9975 [2 per cell]
Sc  0.4390  0.2500  0.3389 [2 per cell]
Te  0.0844  0.7500  0.4097 [2 per cell]
Te  0.1204  0.2500  0.9690 [2 per cell]
Te  0.2010  0.7500  0.7489 [2 per cell]
Te  0.2669  0.7500  0.2257 [2 per cell]
Te  0.3899  0.2500  0.5596 [2 per cell]
Te  0.4794  0.2500  0.1164 [2 per cell]

Values for ρ, g/cm³, ordered as above
6.499, 5.812